(1)
BaCaPb3 | PBE | relaxed

```
5
Lattice="6.223 0.000 0.000 0.000 6.223 0.000 0.000 0.000 6.223" Properties=species:S:1:pos:R:3 pbc="T T T"
Ba 0.000 0.000 0.000
Ca 3.112 3.112 3.112
Pb 0.000 0.000 3.112
Pb 0.000 3.112 0.000
Pb 3.112 0.000 0.000
```

Results
energy above the most stable polymorph in this dataset = 4.942 eV/f.u.
formation enthalpy at 0 K = 549 meV per atom
calculated density = 5.5 Mg/m³
Fermi-level density of states = 5.998 states/eV per cell
total DFT energy (no corrections) = -2.461 eV per atom
space group = Pm-3m

=====

(2)
AgW2Au | PBE | relaxed

```
4
Lattice="2.736 0.000 0.000 0.000 2.736 0.000 0.000 0.000 8.885" Properties=species:S:1:pos:R:3 pbc="T T T"
Ag 0.000 0.000 0.000
W 1.368 1.368 2.232
W 1.368 1.368 6.652
Au 0.000 0.000 4.442
```

Results
energy above the most stable polymorph in this dataset = 1.225 eV/f.u.
formation enthalpy at 0 K = 596 meV per atom
calculated density = 16.8 Mg/m³
Fermi-level density of states = 3.718 states/eV per cell
total DFT energy (no corrections) = -7.413 eV per atom
space group = P4/mmm

=====

(3)
AlTcPb2 | PBE | relaxed

```
4
Lattice="-2.177 2.177 4.656 2.177 -2.177 4.656 2.177 2.177 -4.656" Properties=species:S:1:pos:R:3 pbc="T T T"
Al 0.000 0.000 0.000
Tc 0.000 2.177 2.328
Pb 2.177 0.000 2.328
Pb 0.000 0.000 4.656
```

Results
formation enthalpy at 0 K = 687 meV per atom
calculated density = 10.1 Mg/m³
Fermi-level density of states = 3.973 states/eV per cell
total DFT energy (no corrections) = -4.695 eV per atom
space group = I-4m2

=====

(4)
Na2ZnH2O | PBE | relaxed

```
12
Lattice="5.020 -2.826 0.000 5.020 2.826 0.000 0.000 0.000 5.944" Properties=species:S:1:pos:R:3 pbc="T T T"
Na 3.579 1.640 2.972
Na 6.461 1.640 2.972
Na 3.579 -1.640 0.000
Na 6.461 -1.640 0.000
Zn 5.020 1.501 5.776
Zn 5.020 -1.501 2.805
H 3.600 0.629 5.573
H 3.600 -0.629 2.601
H 6.440 0.629 5.573
H 6.440 -0.629 2.601
O 5.020 2.687 1.409
O 5.020 -2.687 4.381
```

Results
calculated density = 2.5 Mg/m³
Fermi-level density of states = 0.000 states/eV per cell
total DFT energy (no corrections) = -3.248 eV per atom
space group = Cmc2_1